Material: Ta2ZnO
Method: DFT, GGA-PBE
State: optimized geometry

Cell: 6.091 6.091 6.091 Å, 90.00 90.00 90.00°
Space group Fm-3m (No. 225)
One atom of each set of equivalent atoms:
Ta 0.250 0.250 0.250 (multiplicity 8)
Zn 0.000 0.000 0.000 (multiplicity 4)
O 0.000 0.000 0.500 (multiplicity 4)

Computed properties:
Spin magnetization, Bohr magnetons per cell: 0.0
ΔE to the lowest computed polymorph, meV per atom: 250
Energy relative to the elements, uncorrected, eV per atom: 0.14